Record 1
Co4MoPt: PBEsol geometry, SCAN.

The space group is F-43m (No. 216) and the conventional cell measures 6.518, 6.518 and 6.518 Å, with angles of 90.00, 90.00 and 90.00 degrees. The distinct sites, in fractional coordinates, are Co at (0.125, 0.125, 0.125), Mo at (0.000, 0.000, 0.500) and Pt at (0.250, 0.250, 0.750).

The spin magnetization comes out at 6.034 μB per formula unit. The density of states at the Fermi level comes out at 6.9 states/eV/f.u. Its crystal system is cubic. Its formation energy is 0.010 eV/atom.

***

Record 2
H2RhN: PBEsol geometry, SCAN.

The space group is Fd-3m (No. 227, origin choice 2) and the conventional cell measures 5.977, 5.977 and 5.977 Å, with angles of 90.00, 90.00 and 90.00 degrees. The distinct sites, in fractional coordinates, are H at (0.000, 0.000, 0.000), Rh at (0.125, 0.125, 0.625) and N at (0.125, 0.125, 0.125).

The spin magnetization comes out at 0.000 μB per formula unit. The density of states at the Fermi level comes out at 0.5 states/eV/f.u. Its crystal system is cubic. For the energy above the most stable polymorph in this dataset, the calculation gives 0.00 kcal/mol of atoms.

***

Record 3
Rb2HgBiI6: PBEsol geometry, SCAN.

The space group is Fm-3m (No. 225) and the conventional cell measures 12.143, 12.143 and 12.143 Å, with angles of 90.00, 90.00 and 90.00 degrees. The distinct sites, in fractional coordinates, are Rb at (0.250, 0.250, 0.250), Hg at (0.000, 0.000, 0.000), Bi at (0.000, 0.000, 0.500) and I at (0.000, 0.000, 0.249).

The spin magnetization comes out at 0.000 μB per formula unit. The density of states at the Fermi level comes out at 2.3 states/eV/f.u. For the total energy, the calculation gives -1667.54 eV/cell. Its crystal system is cubic.

***

Question: Which formula does entry 2 have?
Answer: H2RhN